Entry 1:
MgMn2Fe, relaxed, DFT PBE-GGA; space group = No. 166; formation energy from the elements = 1.52 eV per formula unit; total DFT energy (no corrections) = -0.24690 hartree per atom
1.0
2.609 0.000 0.000
-1.305 2.260 0.000
0.000 0.000 25.841
Mg Mn Fe
3 6 3
Direct
0.000 0.000 0.000
0.333 0.667 0.667
0.667 0.333 0.333
0.000 0.000 0.242
0.000 0.000 0.758
0.333 0.667 0.424
0.333 0.667 0.909
0.667 0.333 0.091
0.667 0.333 0.576
0.000 0.000 0.500
0.333 0.667 0.167
0.667 0.333 0.833

Entry 2:
MgMnFe2, relaxed, DFT PBE-GGA; space group = No. 71; formation energy from the elements = 1.21 eV per formula unit; total DFT energy (no corrections) = -0.24323 hartree per atom
1.0
2.930 0.000 0.000
0.000 4.221 0.000
0.000 0.000 8.299
Mg Mn Fe
2 2 4
Direct
0.000 0.000 0.000
0.500 0.500 0.500
0.000 0.000 0.500
0.500 0.500 0.000
0.000 0.500 0.235
0.000 0.500 0.765
0.500 0.000 0.265
0.500 0.000 0.735